# 1
First-principles (PBE) data for an optimized crystal structure of AlCoBr2, as listed in the Alexandria database.

**Total energy**: -3.691 eV/atom
**Formation energy from raw total energies**: -142 meV/atom
**Excess energy over the best structure of this formula in the dataset**: 0.1202 eV per atom
**Calculated density**: 3.732 Mg/m³
**Total moment**: 1.299 μB per cell

Cell: 4.555 4.555 7.688 Å, 73.41 73.41 46.14°
Last column: magnetic moment on the atom in μB.
Sites, in units of the cell vectors:
Co: 0.554 0.554 0.625  1.18
Al: 0.840 0.840 0.625  -0.01
Br: 0.982 0.982 0.874  0.06
Br: 0.124 0.124 0.376  0.06

# 2
First-principles (PBE) data for an optimized crystal structure of AlCoBr2, as listed in the Alexandria database.

**Total energy**: -3.093 eV/atom
**Formation energy from raw total energies**: 455 meV/atom
**Excess energy over the best structure of this formula in the dataset**: 0.7175 eV per atom
**Calculated density**: 4.799 Mg/m³
**Total moment**: 2.096 μB per cell

Cell: 4.936 4.936 4.936 Å, 60.00 60.00 60.00°
Last column: magnetic moment on the atom in μB.
Sites, in units of the cell vectors:
Co: 0.500 0.500 0.500  1.96
Al: 0.000 0.000 0.000  0.02
Br: 0.250 0.250 0.250  0.06
Br: 0.750 0.750 0.750  0.06

# 3
First-principles (PBE) data for an optimized crystal structure of AlCoBr, as listed in the Alexandria database.

**Total energy**: -3.731 eV/atom
**Formation energy from raw total energies**: 443 meV/atom
**Excess energy over the best structure of this formula in the dataset**: 0.3212 eV per atom
**Calculated density**: 5.574 Mg/m³
**Total moment**: 0.794 μB per cell

Cell: 4.234 4.234 3.182 Å, 90.00 90.00 120.00°
Last column: magnetic moment on the atom in μB.
Sites, in units of the cell vectors:
Co: 0.333 0.667 0.500  0.89
Al: 0.000 0.000 0.000  -0.01
Br: 0.667 0.333 0.500  0.01

# 4
First-principles (PBE) data for an optimized crystal structure of AlCo2Br, as listed in the Alexandria database.

**Total energy**: -4.702 eV/atom
**Formation energy from raw total energies**: 204 meV/atom
**Excess energy over the best structure of this formula in the dataset**: 0.0805 eV per atom
**Calculated density**: 5.195 Mg/m³
**Total moment**: 2.159 μB per cell

Cell: 4.314 4.314 7.509 Å, 55.12 55.12 40.42°
Last column: magnetic moment on the atom in μB.
Sites, in units of the cell vectors:
Co: 0.950 0.950 0.901  1.11
Co: 0.550 0.550 0.599  1.11
Al: 0.750 0.750 0.750  -0.03
Br: 0.250 0.250 0.250  0.04

# 5
First-principles (PBE) data for an optimized crystal structure of AlCoBr2, as listed in the Alexandria database.

**Total energy**: -3.577 eV/atom
**Formation energy from raw total energies**: -29 meV/atom
**Excess energy over the best structure of this formula in the dataset**: 0.2337 eV per atom
**Calculated density**: 3.984 Mg/m³
**Total moment**: 1.950 μB per cell

Cell: 3.652 3.652 9.519 Å, 90.00 90.00 126.25°
Last column: magnetic moment on the atom in μB.
Sites, in units of the cell vectors:
Co: 0.000 0.000 0.523  1.77
Al: 0.500 0.500 0.717  -0.03
Br: 0.000 0.000 0.919  0.00
Br: 0.500 0.500 0.341  0.18

# 6
First-principles (PBE) data for an optimized crystal structure of AlCoBr2, as listed in the Alexandria database.

**Total energy**: -3.121 eV/atom
**Formation energy from raw total energies**: 428 meV/atom
**Excess energy over the best structure of this formula in the dataset**: 0.6901 eV per atom
**Calculated density**: 4.216 Mg/m³
**Total moment**: 1.893 μB per cell

Cell: 7.028 7.028 7.028 Å, 148.07 148.07 45.78°
Last column: magnetic moment on the atom in μB.
Sites, in units of the cell vectors:
Co: 0.500 0.500 0.000  1.89
Al: 0.750 0.250 0.500  0.00
Br: 0.000 0.000 0.000  0.04
Br: 0.250 0.750 0.500  0.00

# 7
First-principles (PBE) data for an optimized crystal structure of AlCoBr2, as listed in the Alexandria database.

**Total energy**: -2.836 eV/atom
**Formation energy from raw total energies**: 712 meV/atom
**Excess energy over the best structure of this formula in the dataset**: 0.9745 eV per atom
**Calculated density**: 4.696 Mg/m³
**Total moment**: 2.005 μB per cell

Cell: 4.971 4.971 4.971 Å, 60.00 60.00 60.00°
Last column: magnetic moment on the atom in μB.
Sites, in units of the cell vectors:
Co: 0.750 0.750 0.750  1.90
Al: 0.500 0.500 0.500  0.02
Br: 0.000 0.000 0.000  0.02
Br: 0.250 0.250 0.250  0.11

# 8
First-principles (PBE) data for an optimized crystal structure of AlCoBr2, as listed in the Alexandria database.

**Total energy**: -3.573 eV/atom
**Formation energy from raw total energies**: -24 meV/atom
**Excess energy over the best structure of this formula in the dataset**: 0.2384 eV per atom
**Calculated density**: 3.512 Mg/m³
**Total moment**: 0.795 μB per cell

Cell: 3.623 7.254 7.315 Å, 37.18 90.00 90.00°
Last column: magnetic moment on the atom in μB.
Sites, in units of the cell vectors:
Co: 0.500 0.250 0.250  0.66
Al: 0.500 0.750 0.750  0.01
Br: 0.000 0.127 0.129  0.04
Br: 0.000 0.373 0.371  0.04

# 9
First-principles (PBE) data for an optimized crystal structure of AlCo2Br, as listed in the Alexandria database.

**Total energy**: -4.580 eV/atom
**Formation energy from raw total energies**: 327 meV/atom
**Excess energy over the best structure of this formula in the dataset**: 0.2028 eV per atom
**Calculated density**: 6.514 Mg/m³
**Total moment**: 1.879 μB per cell

Cell: 7.845 7.845 7.845 Å, 21.59 21.59 21.59°
Last column: magnetic moment on the atom in μB.
Sites, in units of the cell vectors:
Co: 0.998 0.998 0.998  0.99
Co: 0.502 0.502 0.502  0.99
Al: 0.250 0.250 0.250  -0.03
Br: 0.750 0.750 0.750  0.06

# 10
First-principles (PBE) data for an optimized crystal structure of AlCo2Br, as listed in the Alexandria database.

**Total energy**: -4.660 eV/atom
**Formation energy from raw total energies**: 247 meV/atom
**Excess energy over the best structure of this formula in the dataset**: 0.1229 eV per atom
**Calculated density**: 6.595 Mg/m³
**Total moment**: 2.013 μB per cell

Cell: 3.054 3.054 6.070 Å, 90.00 90.00 90.00°
Last column: magnetic moment on the atom in μB.
Sites, in units of the cell vectors:
Co: 0.000 0.000 0.036  1.05
Co: 0.000 0.000 0.464  1.05
Al: 0.500 0.500 0.250  -0.04
Br: 0.500 0.500 0.750  0.11

# 11
First-principles (PBE) data for an optimized crystal structure of AlCo2Br, as listed in the Alexandria database.

**Total energy**: -4.388 eV/atom
**Formation energy from raw total energies**: 518 meV/atom
**Excess energy over the best structure of this formula in the dataset**: 0.3943 eV per atom
**Calculated density**: 6.661 Mg/m³
**Total moment**: 1.934 μB per cell

Cell: 4.295 4.295 4.295 Å, 60.00 60.00 60.00°
Last column: magnetic moment on the atom in μB.
Sites, in units of the cell vectors:
Co: 0.250 0.250 0.250  1.05
Co: 0.750 0.750 0.750  1.05
Al: 0.000 0.000 0.000  -0.04
Br: 0.500 0.500 0.500  0.05

# 12
First-principles (PBE) data for an optimized crystal structure of AlCoBr, as listed in the Alexandria database.

**Total energy**: -4.052 eV/atom
**Formation energy from raw total energies**: 122 meV/atom
**Excess energy over the best structure of this formula in the dataset**: 0.0000 eV per atom
**Calculated density**: 5.323 Mg/m³
**Total moment**: 1.010 μB per cell

Cell: 3.299 3.299 5.489 Å, 90.00 90.00 120.00°
Last column: magnetic moment on the atom in μB.
Sites, in units of the cell vectors:
Co: 0.333 0.667 0.690  1.11
Al: 0.000 0.000 0.959  -0.03
Br: 0.667 0.333 0.351  0.01

What did the fifth record say?
First-principles (PBE) data for an optimized crystal structure of AlCoBr2, as listed in the Alexandria database.

**Total energy**: -3.577 eV/atom
**Formation energy from raw total energies**: -29 meV/atom
**Excess energy over the best structure of this formula in the dataset**: 0.2337 eV per atom
**Calculated density**: 3.984 Mg/m³
**Total moment**: 1.950 μB per cell

Cell: 3.652 3.652 9.519 Å, 90.00 90.00 126.25°
Last column: magnetic moment on the atom in μB.
Sites, in units of the cell vectors:
Co: 0.000 0.000 0.523  1.77
Al: 0.500 0.500 0.717  -0.03
Br: 0.000 0.000 0.919  0.00
Br: 0.500 0.500 0.341  0.18

Look up the formation energy from raw total energies of the second one.
455 meV/atom

Copy entry 1 word for word.
First-principles (PBE) data for an optimized crystal structure of AlCoBr2, as listed in the Alexandria database.

**Total energy**: -3.691 eV/atom
**Formation energy from raw total energies**: -142 meV/atom
**Excess energy over the best structure of this formula in the dataset**: 0.1202 eV per atom
**Calculated density**: 3.732 Mg/m³
**Total moment**: 1.299 μB per cell

Cell: 4.555 4.555 7.688 Å, 73.41 73.41 46.14°
Last column: magnetic moment on the atom in μB.
Sites, in units of the cell vectors:
Co: 0.554 0.554 0.625  1.18
Al: 0.840 0.840 0.625  -0.01
Br: 0.982 0.982 0.874  0.06
Br: 0.124 0.124 0.376  0.06

What is the formation energy from raw total energies in the eighth record?
-24 meV/atom